No. 1
# CdHg PBE optimized geometry
# Space-group type ... P-3m1
# Fermi-level density of states ... 1.1 states/eV/cell
# ΔE_f ... 0.07 eV per formula unit
data_CdHg
_cell_length_a 3.169
_cell_length_b 3.169
_cell_length_c 11.165
_cell_angle_alpha 90.00
_cell_angle_beta 90.00
_cell_angle_gamma 120.00
_symmetry_space_group_name_H-M 'P 1'
_symmetry_Int_Tables_number 1
loop_
_symmetry_equiv_pos_as_xyz
'x,y,z'
loop_
_atom_site_label
_atom_site_type_symbol
_atom_site_fract_x
_atom_site_fract_y
_atom_site_fract_z
Hg1 Hg 0.000 0.000 0.495
Hg2 Hg 0.333 0.667 0.755
Cd1 Cd 0.000 0.000 0.004
Cd2 Cd 0.333 0.667 0.246



No. 2
# KNpPd2O6 PBE optimized geometry
# Formation energy (no corrections) ... -1473.4 meV per atom
# Space-group type ... P1
# Fermi-level density of states ... 0.9 states/eV/cell
data_KNpPd2O6
_cell_length_a 5.490
_cell_length_b 5.636
_cell_length_c 7.467
_cell_angle_alpha 92.48
_cell_angle_beta 126.94
_cell_angle_gamma 113.53
_symmetry_space_group_name_H-M 'P 1'
_symmetry_Int_Tables_number 1
loop_
_symmetry_equiv_pos_as_xyz
'x,y,z'
loop_
_atom_site_label
_atom_site_type_symbol
_atom_site_fract_x
_atom_site_fract_y
_atom_site_fract_z
K1 K 0.007 0.477 0.491
Np1 Np 0.978 0.979 0.944
Pd1 Pd 0.601 0.795 0.409
Pd2 Pd 0.647 0.335 0.924
O1 O 0.526 0.977 0.744
O2 O 0.432 0.992 0.170
O3 O 0.811 0.734 0.082
O4 O 0.156 0.409 0.145
O5 O 0.713 0.622 0.657
O6 O 0.094 0.156 0.737